(1)
Compound: TlCrTe2
Source: Alexandria via LeMat-Bulk
Functional: PBE
Structure: relaxed

Summary:
Total energy (eV/atom): -4.585
DOS at the Fermi energy (states/eV per atom): 0.388
Raw formation energy (kJ per mole of atoms): -1.7

Lattice parameters (Å, degrees): 3.4268 4.0228 8.4992 90.00 100.38 90.00
With the nearest neighbours (Å) after each atom.
Space group P2/m (No. 10)
Asymmetric unit:
Tl 0.0000 0.0000 0.0000 x1  2 Tl 3.43, 8 Te 3.58-3.63
Cr 0.5000 0.0000 0.5000 x1  4 Te 2.75
Te 0.3849 0.5000 0.7071 x2  2 Cr 2.75



(2)
Compound: La2AgGe4Ir3
Source: Alexandria via LeMat-Bulk
Functional: PBE
Structure: relaxed

Summary:
Total energy (eV/atom): -6.459
Calculated formation energy (eV per atom): -0.683
DOS at the Fermi energy (states/eV per atom): 0.541

Lattice parameters (Å, degrees): 4.3912 4.3912 10.1945 90.00 90.00 90.00
With the nearest neighbours (Å) after each atom.
Space group P-4m2 (No. 115)
Asymmetric unit:
La 0.0000 0.5000 0.2384 x2  8 Ge 3.28-3.36, 6 Ir 3.32-3.45, 2 Ag 3.45
Ag 0.0000 0.0000 0.5000 x1  4 Ge 2.60
Ge 0.0000 0.0000 0.0000 x1  4 Ir 2.53
Ge 0.0000 0.5000 0.6367 x2  3 Ir 2.46-2.60, 2 Ag 2.60
Ge 0.5000 0.5000 0.0000 x1  4 Ir 2.53
Ir 0.0000 0.5000 0.8776 x2  5 Ge 2.46-2.53
Ir 0.5000 0.5000 0.5000 x1  4 Ge 2.60



(3)
Compound: Pr2PaO6
Source: Alexandria via LeMat-Bulk
Functional: PBE
Structure: relaxed

Summary:
Total energy (eV/atom): -8.707
Relative energy among the computed polymorphs (eV per formula unit): 0.00
DOS at the Fermi energy (states/eV per atom): 0.877
Raw formation energy (kJ per mole of atoms): -316.9

Lattice parameters (Å, degrees): 3.9602 5.6510 11.7046 90.00 90.00 90.00
With the nearest neighbours (Å) after each atom.
Space group Immm (No. 71)
Asymmetric unit:
Pr 0.0000 0.0000 0.1673 x4  8 O 2.47-2.50
Pa 0.0000 0.0000 0.5000 x2  8 O 2.26-2.36
O 0.0000 0.2384 0.3447 x8  1 Pa 2.26, 3 Pr 2.47-2.48
O 0.0000 0.2737 0.0000 x4  2 Pa 2.36, 2 Pr 2.50, 1 O 2.56